Entry from Alexandria via LeMat-Bulk: crystalline YHo5ErTh2 at its relaxed geometry (PBE).

a b c (Å): 8.723 8.723 15.430
angles (deg): 90.00 90.00 90.00
Space group I4/mcm (No. 140)
Inequivalent atoms, fractional coordinates:
Y 0.000 0.000 0.250 x4
Ho 0.000 0.000 0.000 x4
Ho 0.211 0.289 0.140 x16
Er 0.000 0.500 0.250 x4
Th 0.120 0.380 0.500 x8

Results
total magnetization	0.0	μB per formula unit
energy relative to the elements	345	meV/atom

***

Entry from Alexandria via LeMat-Bulk: crystalline Tc2NiGeS at its relaxed geometry (PBE).

a b c (Å): 4.426 4.426 4.015
angles (deg): 90.00 90.00 90.00
Space group P4/mmm (No. 123)
Inequivalent atoms, fractional coordinates:
Tc 0.000 0.500 0.000 x2
Ni 0.000 0.000 0.500 x1
Ge 0.500 0.500 0.500 x1
S 0.000 0.000 0.000 x1

Results
total magnetization	0.0	μB per formula unit
formation energy without anion corrections	449.4	meV/atom

***

Entry from Alexandria via LeMat-Bulk: crystalline Nb4S3 at its relaxed geometry (PBE).

a b c (Å): 6.9858 6.9858 18.2627
angles (deg): 90.00 90.00 120.00
Space group R-3m (No. 166, hexagonal axes)
Inequivalent atoms, fractional coordinates:
Nb 0.0000 0.0000 0.2343 x6
Nb 0.0267 0.5134 0.7539 x18
S 0.0000 0.0000 0.0000 x3
S 0.0000 0.0000 0.3643 x6
S 0.0000 0.5000 0.5000 x9

Results
total magnetization	0.0	μB per formula unit
formation energy without anion corrections	-437.3	meV/atom

***

Entry from Alexandria via LeMat-Bulk: crystalline Ti3OF at its relaxed geometry (PBE).

a b c (Å): 4.107 4.107 4.107
angles (deg): 90.00 90.00 90.00
Space group Pm-3m (No. 221)
Inequivalent atoms, fractional coordinates:
Ti 0.000 0.000 0.500 x3
O 0.000 0.000 0.000 x1
F 0.500 0.500 0.500 x1

Results
total magnetization	1.3	μB per formula unit
formation energy without anion corrections	-923.3	meV/atom
relative energy among the computed polymorphs	0.00	eV per formula unit